Compound: K3Hg4
Source: Alexandria via LeMat-Bulk
Functional: GGA-PBE
Structure: relaxed

* calculated formation energy: -0.25 eV per atom
* crystal system: monoclinic
* energy above the most stable polymorph in this dataset: 0.07 kcal/mol of atoms

a b c (Å): 4.865 6.770 16.737
angles (deg): 89.99 90.00 111.07
Fractional positions:
Hg  0.590  0.179  0.903
Hg  0.729  0.458  0.750
Hg  0.273  0.547  0.250
Hg  0.413  0.826  0.403
Hg  0.001  0.002  0.000
Hg  0.590  0.179  0.598
Hg  0.001  0.002  0.500
Hg  0.412  0.825  0.098
K  0.700  0.400  0.099
K  0.014  0.029  0.750
K  0.302  0.604  0.902
K  0.302  0.604  0.599
K  0.700  0.401  0.402
K  0.988  0.976  0.250

---

Compound: KHg2
Source: Alexandria via LeMat-Bulk
Functional: GGA-PBE
Structure: relaxed

* calculated formation energy: -0.24 eV per atom
* crystal system: tetragonal

a b c (Å): 9.875 9.875 9.875
angles (deg): 151.62 151.62 40.57
Fractional positions:
K  0.250  0.750  0.500
K  0.000  0.000  0.000
Hg  0.830  0.330  0.500
Hg  0.670  0.170  0.500
Hg  0.580  0.580  0.000
Hg  0.420  0.420  0.000

---

Compound: KHg
Source: Alexandria via LeMat-Bulk
Functional: GGA-PBE
Structure: relaxed

* calculated formation energy: -0.22 eV per atom
* crystal system: orthorhombic

a b c (Å): 7.785 8.276 10.156
angles (deg): 90.00 90.00 90.00
Fractional positions:
Hg  0.034  0.001  0.871
Hg  0.732  0.750  0.294
Hg  0.534  0.499  0.129
Hg  0.966  0.501  0.629
Hg  0.232  0.750  0.706
Hg  0.768  0.250  0.794
Hg  0.466  0.999  0.371
Hg  0.268  0.250  0.206
K  0.671  0.850  0.652
K  0.422  0.893  0.019
K  0.329  0.350  0.848
K  0.922  0.607  0.981
K  0.578  0.393  0.481
K  0.078  0.107  0.519
K  0.171  0.650  0.348
K  0.829  0.150  0.152

---

Compound: KHg
Source: Alexandria via LeMat-Bulk
Functional: GGA-PBE
Structure: relaxed

* calculated formation energy: -0.13 eV per atom
* crystal system: trigonal

a b c (Å): 5.711 5.711 5.711
angles (deg): 44.34 44.34 44.34
Fractional positions:
K  0.500  0.500  0.500
Hg  0.000  0.000  0.000

---

Compound: KHg
Source: Alexandria via LeMat-Bulk
Functional: GGA-PBE
Structure: relaxed

* calculated formation energy: -0.13 eV per atom
* crystal system: hexagonal

a b c (Å): 4.366 4.366 5.039
angles (deg): 90.00 90.00 120.00
Fractional positions:
Hg  0.000  0.000  0.000
K  0.333  0.667  0.500

---

Compound: K5Hg4
Source: Alexandria via LeMat-Bulk
Functional: GGA-PBE
Structure: relaxed

* calculated formation energy: -0.18 eV per atom
* crystal system: hexagonal
* energy above the most stable polymorph in this dataset: 0.71 kcal/mol of atoms

a b c (Å): 10.656 10.656 7.429
angles (deg): 90.00 90.00 120.00
Fractional positions:
K  0.723  0.000  0.250
K  0.277  0.000  0.750
K  0.723  0.723  0.750
K  0.667  0.333  0.000
K  0.333  0.667  0.500
K  0.277  0.277  0.250
K  0.000  0.277  0.750
K  0.000  0.723  0.250
K  0.667  0.333  0.500
K  0.333  0.667  0.000
Hg  0.613  0.000  0.750
Hg  0.000  0.000  0.500
Hg  0.000  0.000  0.000
Hg  0.387  0.387  0.750
Hg  0.000  0.613  0.750
Hg  0.613  0.613  0.250
Hg  0.000  0.387  0.250
Hg  0.387  0.000  0.250